Record 1
## BeZn2Tc (GGA-PBE)

Data for a geometry-optimized BeZn2Tc structure.

Values from the calculation:
Formation energy from the elements   174.2 meV/atom
Total moment   0.00 μB/f.u.
DOS(E_F)   0.556 states/eV/atom

The structure in CIF format:
```
data_BeZn2Tc
_cell_length_a 2.6012
_cell_length_b 3.9291
_cell_length_c 5.1323
_cell_angle_alpha 90.00
_cell_angle_beta 90.00
_cell_angle_gamma 90.00
_space_group_name_H-M_alt 'P 1'
_space_group_IT_number 1
loop_
_space_group_symop_operation_xyz
'x,y,z'
loop_
_atom_site_label
_atom_site_fract_x
_atom_site_fract_y
_atom_site_fract_z
Be1 0.5000 0.5000 0.2500
Zn1 0.0000 0.0000 0.0060
Zn2 0.0000 0.0000 0.4940
Tc1 0.5000 0.5000 0.7500
```


Record 2
## NdErZnAu (GGA-PBE)

Data for a geometry-optimized NdErZnAu structure.

Values from the calculation:
Formation energy from the elements   -555.5 meV/atom
Total moment   0.00 μB/f.u.
DOS(E_F)   0.561 states/eV/atom
Distance to the lowest polymorph of the same formula   0.024 eV/atom

The structure in CIF format:
```
data_NdErZnAu
_cell_length_a 5.1411
_cell_length_b 5.1411
_cell_length_c 5.1411
_cell_angle_alpha 60.00
_cell_angle_beta 60.00
_cell_angle_gamma 60.00
_space_group_name_H-M_alt 'P 1'
_space_group_IT_number 1
loop_
_space_group_symop_operation_xyz
'x,y,z'
loop_
_atom_site_label
_atom_site_fract_x
_atom_site_fract_y
_atom_site_fract_z
Er1 0.7500 0.7500 0.7500
Nd1 0.2500 0.2500 0.2500
Zn1 0.0000 0.0000 0.0000
Au1 0.5000 0.5000 0.5000
```


Record 3
## MgTc2Pb (GGA-PBE)

Data for a geometry-optimized MgTc2Pb structure.

Values from the calculation:
Formation energy from the elements   1014.1 meV/atom
Total moment   1.74 μB/f.u.
DOS(E_F)   1.138 states/eV/atom
Distance to the lowest polymorph of the same formula   0.892 eV/atom

The structure in CIF format:
```
data_MgTc2Pb
_cell_length_a 7.5236
_cell_length_b 7.5236
_cell_length_c 5.9828
_cell_angle_alpha 51.04
_cell_angle_beta 51.04
_cell_angle_gamma 90.00
_space_group_name_H-M_alt 'P 1'
_space_group_IT_number 1
loop_
_space_group_symop_operation_xyz
'x,y,z'
loop_
_atom_site_label
_atom_site_fract_x
_atom_site_fract_y
_atom_site_fract_z
Tc1 0.8750 0.8746 0.7500
Tc2 0.6246 0.1250 0.2500
Tc3 0.1254 0.6250 0.2500
Tc4 0.3750 0.3754 0.7500
Mg1 0.5000 0.5000 0.0000
Mg2 0.2500 0.7500 0.5000
Pb1 0.7500 0.2500 0.5000
Pb2 0.0000 0.0000 0.0000
```


Record 4
## KCrSi2 (GGA-PBE)

Data for a geometry-optimized KCrSi2 structure.

Values from the calculation:
Formation energy without anion corrections   1.071 eV per atom
Total moment   0.00 μB/f.u.
DOS(E_F)   4.125 states/eV/atom
Distance to the lowest polymorph of the same formula   0.917 eV/atom

The structure in CIF format:
```
data_KCrSi2
_cell_length_a 4.6023
_cell_length_b 4.6023
_cell_length_c 4.6023
_cell_angle_alpha 60.00
_cell_angle_beta 60.00
_cell_angle_gamma 60.00
_space_group_name_H-M_alt 'P 1'
_space_group_IT_number 1
loop_
_space_group_symop_operation_xyz
'x,y,z'
loop_
_atom_site_label
_atom_site_fract_x
_atom_site_fract_y
_atom_site_fract_z
Si1 0.7500 0.7500 0.7500
Si2 0.2500 0.2500 0.2500
K1 0.0000 0.0000 0.0000
Cr1 0.5000 0.5000 0.5000
```


Record 5
## BeFeSi2 (GGA-PBE)

Data for a geometry-optimized BeFeSi2 structure.

Values from the calculation:
Formation energy without anion corrections   -0.058 eV per atom
Total moment   0.00 μB/f.u.
DOS(E_F)   0.285 states/eV/atom

The structure in CIF format:
```
data_BeFeSi2
_cell_length_a 4.1940
_cell_length_b 4.1940
_cell_length_c 4.1940
_cell_angle_alpha 129.99
_cell_angle_beta 129.99
_cell_angle_gamma 73.42
_space_group_name_H-M_alt 'P 1'
_space_group_IT_number 1
loop_
_space_group_symop_operation_xyz
'x,y,z'
loop_
_atom_site_label
_atom_site_fract_x
_atom_site_fract_y
_atom_site_fract_z
Fe1 0.7500 0.2500 0.5000
Be1 0.2500 0.7500 0.5000
Si1 0.5000 0.5000 0.0000
Si2 0.0000 0.0000 0.0000
```


Record 6
## Nd8PdRh3I4 (GGA-PBE)

Data for a geometry-optimized Nd8PdRh3I4 structure.

Values from the calculation:
Formation energy without anion corrections   -0.930 eV per atom
Total moment   0.00 μB/f.u.
DOS(E_F)   0.424 states/eV/atom

The structure in CIF format:
```
data_Nd8PdRh3I4
_cell_length_a 8.4082
_cell_length_b 9.4787
_cell_length_c 8.4069
_cell_angle_alpha 116.29
_cell_angle_beta 120.01
_cell_angle_gamma 90.00
_space_group_name_H-M_alt 'P 1'
_space_group_IT_number 1
loop_
_space_group_symop_operation_xyz
'x,y,z'
loop_
_atom_site_label
_atom_site_fract_x
_atom_site_fract_y
_atom_site_fract_z
Rh1 0.5000 0.5000 0.5000
Rh2 0.5000 0.5000 0.0000
Rh3 0.0000 0.5000 0.5000
Nd1 0.2712 0.3135 0.5424
Nd2 0.2326 0.6861 0.4653
Nd3 0.7288 0.6865 0.4576
Nd4 0.7208 0.6861 0.9535
Nd5 0.7673 0.3139 0.0465
Nd6 0.2792 0.3139 0.0465
Nd7 0.7674 0.3139 0.5347
Nd8 0.2327 0.6861 0.9535
I1 0.5000 0.0000 0.5000
I2 0.0000 0.0000 0.5000
I3 0.5000 0.0000 0.0000
I4 0.0000 0.0000 0.0000
Pd1 0.0000 0.5000 0.0000
```


Record 7
## Ca2OsCl (GGA-PBE)

Data for a geometry-optimized Ca2OsCl structure.

Values from the calculation:
Formation energy without anion corrections   -0.289 eV per atom
Total moment   0.24 μB/f.u.
DOS(E_F)   0.798 states/eV/atom
Distance to the lowest polymorph of the same formula   0.202 eV/atom

The structure in CIF format:
```
data_Ca2OsCl
_cell_length_a 3.2084
_cell_length_b 4.9222
_cell_length_c 5.7614
_cell_angle_alpha 90.00
_cell_angle_beta 90.00
_cell_angle_gamma 90.00
_space_group_name_H-M_alt 'P 1'
_space_group_IT_number 1
loop_
_space_group_symop_operation_xyz
'x,y,z'
loop_
_atom_site_label
_atom_site_fract_x
_atom_site_fract_y
_atom_site_fract_z
Ca1 0.0000 0.0000 0.8753
Ca2 0.5000 0.5000 0.3747
Cl1 0.0000 0.0000 0.3752
Os1 0.5000 0.5000 0.8748
```


Record 8
## RbGeSb (GGA-PBE)

Data for a geometry-optimized RbGeSb structure.

Values from the calculation:
Formation energy without anion corrections   -0.106 eV per atom
Total moment   0.00 μB/f.u.
DOS(E_F)   1.022 states/eV/atom

The structure in CIF format:
```
data_RbGeSb
_cell_length_a 5.4796
_cell_length_b 4.9010
_cell_length_c 4.9010
_cell_angle_alpha 120.00
_cell_angle_beta 90.00
_cell_angle_gamma 90.00
_space_group_name_H-M_alt 'P 1'
_space_group_IT_number 1
loop_
_space_group_symop_operation_xyz
'x,y,z'
loop_
_atom_site_label
_atom_site_fract_x
_atom_site_fract_y
_atom_site_fract_z
Rb1 0.6666 0.3333 0.6667
Sb1 0.1666 0.0000 0.0000
Ge1 0.1668 0.6667 0.3333
```


Record 9
## ErSc5Rh6 (GGA-PBE)

Data for a geometry-optimized ErSc5Rh6 structure.

Values from the calculation:
Formation energy from the elements   -999.9 meV/atom
Total moment   0.00 μB/f.u.
DOS(E_F)   0.344 states/eV/atom

The structure in CIF format:
```
data_ErSc5Rh6
_cell_length_a 4.6114
_cell_length_b 6.5031
_cell_length_c 7.2903
_cell_angle_alpha 90.00
_cell_angle_beta 71.56
_cell_angle_gamma 90.00
_space_group_name_H-M_alt 'P 1'
_space_group_IT_number 1
loop_
_space_group_symop_operation_xyz
'x,y,z'
loop_
_atom_site_label
_atom_site_fract_x
_atom_site_fract_y
_atom_site_fract_z
Sc1 0.6687 0.0000 0.6626
Sc2 0.6669 0.5000 0.6661
Sc3 0.0000 0.5000 0.0000
Sc4 0.3313 0.0000 0.3374
Sc5 0.3331 0.5000 0.3339
Rh1 0.1691 0.7468 0.6619
Rh2 0.5000 0.7429 0.0000
Rh3 0.8309 0.7468 0.3381
Rh4 0.1691 0.2532 0.6619
Rh5 0.5000 0.2571 0.0000
Rh6 0.8309 0.2532 0.3381
Er1 0.0000 0.0000 0.0000
```


Record 10
## ZrBePtO2 (GGA-PBE)

Data for a geometry-optimized ZrBePtO2 structure.

Values from the calculation:
Formation energy without anion corrections   -0.026 eV per atom
Total moment   0.00 μB/f.u.
DOS(E_F)   0.532 states/eV/atom
Distance to the lowest polymorph of the same formula   0.879 eV/atom

The structure in CIF format:
```
data_ZrBePtO2
_cell_length_a 4.0638
_cell_length_b 4.1963
_cell_length_c 4.0638
_cell_angle_alpha 90.00
_cell_angle_beta 90.00
_cell_angle_gamma 90.00
_space_group_name_H-M_alt 'P 1'
_space_group_IT_number 1
loop_
_space_group_symop_operation_xyz
'x,y,z'
loop_
_atom_site_label
_atom_site_fract_x
_atom_site_fract_y
_atom_site_fract_z
Pt1 0.0000 0.0000 0.0000
O1 0.5000 0.0000 0.0000
O2 0.0000 0.0000 0.5000
Be1 0.0000 0.5000 0.0000
Zr1 0.5000 0.5000 0.5000
```


Record 11
## Pr4Ir2Br (GGA-PBE)

Data for a geometry-optimized Pr4Ir2Br structure.

Values from the calculation:
Formation energy without anion corrections   -0.810 eV per atom
Total moment   0.00 μB/f.u.
DOS(E_F)   0.617 states/eV/atom

The structure in CIF format:
```
data_Pr4Ir2Br
_cell_length_a 4.2362
_cell_length_b 4.2362
_cell_length_c 14.5088
_cell_angle_alpha 81.61
_cell_angle_beta 81.61
_cell_angle_gamma 60.00
_space_group_name_H-M_alt 'P 1'
_space_group_IT_number 1
loop_
_space_group_symop_operation_xyz
'x,y,z'
loop_
_atom_site_label
_atom_site_fract_x
_atom_site_fract_y
_atom_site_fract_z
Pr1 0.7222 0.7222 0.8334
Pr2 0.8749 0.8749 0.3753
Pr3 0.2778 0.2778 0.1666
Pr4 0.1251 0.1251 0.6247
Ir1 0.4241 0.4241 0.7277
Ir2 0.5759 0.5759 0.2723
Br1 0.0000 0.0000 0.0000
```


Record 12
## NaCeAg2Br6 (GGA-PBE)

Data for a geometry-optimized NaCeAg2Br6 structure.

Values from the calculation:
Formation energy without anion corrections   -1.146 eV per atom
Total moment   1.00 μB/f.u.
DOS(E_F)   0.824 states/eV/atom

The structure in CIF format:
```
data_NaCeAg2Br6
_cell_length_a 7.4247
_cell_length_b 7.4251
_cell_length_c 8.0108
_cell_angle_alpha 90.00
_cell_angle_beta 117.61
_cell_angle_gamma 120.00
_space_group_name_H-M_alt 'P 1'
_space_group_IT_number 1
loop_
_space_group_symop_operation_xyz
'x,y,z'
loop_
_atom_site_label
_atom_site_fract_x
_atom_site_fract_y
_atom_site_fract_z
Br1 0.1440 0.4042 0.2084
Br2 0.1120 0.2177 0.7030
Br3 0.8183 0.7386 0.2084
Br4 0.4991 0.8932 0.7032
Br5 0.8239 0.6051 0.7029
Br6 0.4838 0.0786 0.2086
Ce1 0.0020 0.0005 0.9885
Ag1 0.4943 0.2468 0.7267
Ag2 0.6085 0.8038 0.3982
Na1 0.9797 0.4892 0.4547
```


Record 13
## KAu2Cl8 (GGA-PBE)

Data for a geometry-optimized KAu2Cl8 structure.

Values from the calculation:
Formation energy without anion corrections   -0.356 eV per atom
Total moment   1.10 μB/f.u.
DOS(E_F)   0.614 states/eV/atom

The structure in CIF format:
```
data_KAu2Cl8
_cell_length_a 8.2182
_cell_length_b 7.7325
_cell_length_c 7.7325
_cell_angle_alpha 66.63
_cell_angle_beta 72.57
_cell_angle_gamma 72.57
_space_group_name_H-M_alt 'P 1'
_space_group_IT_number 1
loop_
_space_group_symop_operation_xyz
'x,y,z'
loop_
_atom_site_label
_atom_site_fract_x
_atom_site_fract_y
_atom_site_fract_z
Au1 0.6022 0.8425 0.8425
Au2 0.3978 0.1575 0.1575
Cl1 0.3655 0.7903 0.7903
Cl2 0.9661 0.5824 0.5824
Cl3 0.0339 0.4176 0.4176
Cl4 0.2140 0.3128 0.9378
Cl5 0.7860 0.6872 0.0622
Cl6 0.6345 0.2097 0.2097
Cl7 0.7860 0.0622 0.6872
Cl8 0.2140 0.9378 0.3128
K1 0.0000 0.0000 0.0000
```